<w>
This record from Alexandria describes a relaxed structure of BaYFe2. The functional is GGA-PBEsol.

Computed properties:
* size of the total moment: 4.73 μB per formula unit
* SG: F-43m
* crystal system: cubic

a = 4.8835 Å, b = 4.8835 Å, c = 4.8835 Å
α = 60.00°, β = 60.00°, γ = 60.00°
Closest atoms and distances in Å follow each position.
Atoms (fractional coordinates):
Y1 0.2500 0.2500 0.2500  4 Ba 2.99, 4 Fe 2.99
Fe1 0.7500 0.7500 0.7500  4 Ba 2.99, 4 Fe 2.99
Fe2 0.0000 0.0000 0.0000  4 Fe 2.99, 4 Y 2.99
Ba1 0.5000 0.5000 0.5000  4 Fe 2.99, 4 Y 2.99

=====

<x>
This record from Alexandria describes a relaxed structure of BaYFe2. The functional is GGA-PBEsol.

Computed properties:
* size of the total moment: 4.10 μB per formula unit
* SG: P4/mmm
* crystal system: tetragonal

a = 3.7161 Å, b = 3.7153 Å, c = 6.9591 Å
α = 89.96°, β = 90.00°, γ = 90.00°
Closest atoms and distances in Å follow each position.
Atoms (fractional coordinates):
Fe1 0.0000 0.9998 0.1618  1 Fe 2.25
Fe2 0.0000 0.0002 0.8382  1 Fe 2.25
Y1 0.5000 0.5000 0.0000  8 Fe 2.86
Ba1 0.5000 0.5000 0.5000  2 Y 3.48, 8 Fe 3.53, 4 Ba 3.72

=====

Which structure is the most stable? The one labeled <x>.

=====

<w>
This record from Alexandria describes a relaxed structure of BaY2Fe. The functional is GGA-PBEsol.

Computed properties:
* size of the total moment: 0.51 μB per formula unit
* SG: Amm2
* crystal system: orthorhombic

a = 3.6741 Å, b = 4.0779 Å, c = 8.5204 Å
α = 103.85°, β = 90.00°, γ = 90.00°
Closest atoms and distances in Å follow each position.
Atoms (fractional coordinates):
Fe1 0.5000 0.4938 0.9876  1 Y 2.43
Ba1 0.0000 0.6633 0.3266  2 Fe 3.35, 2 Ba 3.67, 2 Y 3.70
Y1 0.0000 0.9769 0.9538  4 Fe 2.76
Y2 0.5000 0.3468 0.6935  1 Fe 2.43

=====

<x>
This record from Alexandria describes a relaxed structure of BaY2Fe. The functional is GGA-PBEsol.

Computed properties:
* size of the total moment: 1.51 μB per formula unit
* SG: Fm-3m
* crystal system: cubic

a = 5.2875 Å, b = 5.2875 Å, c = 5.2875 Å
α = 60.00°, β = 60.00°, γ = 60.00°
Closest atoms and distances in Å follow each position.
Atoms (fractional coordinates):
Fe1 0.5000 0.5000 0.5000  8 Y 3.24
Y1 0.2500 0.2500 0.2500  4 Ba 3.24, 4 Fe 3.24
Y2 0.7500 0.7500 0.7500  4 Ba 3.24, 4 Fe 3.24
Ba1 0.0000 0.0000 0.0000  8 Y 3.24

=====

Which structure is the most stable? The one labeled <w>.

=====

<w>
This record from Alexandria describes a relaxed structure of Ba3GeO5. The functional is GGA-PBEsol.

Computed properties:
* size of the total moment: 0.00 μB per formula unit
* SG: I4/mcm
* crystal system: tetragonal

a = 7.2950 Å, b = 7.7666 Å, c = 7.2950 Å
α = 61.99°, β = 90.00°, γ = 118.01°
Closest atoms and distances in Å follow each position.
Atoms (fractional coordinates):
Ge1 0.2500 0.5000 0.2500  4 O 1.77
Ge2 0.7500 0.5000 0.7500  4 O 1.77
O1 0.9789 0.6863 0.5211  1 Ge 1.77
O2 0.7925 0.3137 0.9789  1 Ge 1.77
O3 0.0211 0.3137 0.4789  1 Ge 1.77
O4 0.5211 0.3137 0.7075  1 Ge 1.77
O5 0.5000 0.0000 0.5000  6 Ba 2.68-2.90
O6 0.7075 0.6863 0.7925  1 Ge 1.77
O7 0.0000 0.0000 0.0000  6 Ba 2.68-2.90
O8 0.2075 0.6863 0.0211  1 Ge 1.77
O9 0.2925 0.3137 0.2075  1 Ge 1.77
O10 0.4789 0.6863 0.2925  1 Ge 1.77
Ba1 0.3196 0.0000 0.1804  4 O 2.63-2.68
Ba2 0.1804 0.0000 0.6804  4 O 2.63-2.68
Ba3 0.7500 0.5000 0.2500  10 O 2.90-3.04
Ba4 0.8196 0.0000 0.3196  4 O 2.63-2.68
Ba5 0.6804 0.0000 0.8196  4 O 2.63-2.68
Ba6 0.2500 0.5000 0.7500  10 O 2.90-3.04

=====

<x>
This record from Alexandria describes a relaxed structure of Ba3GeO5. The functional is GGA-PBEsol.

Computed properties:
* size of the total moment: 0.05 μB per formula unit
* SG: R3m
* crystal system: trigonal

a = 7.9566 Å, b = 7.9566 Å, c = 10.5919 Å
α = 67.94°, β = 67.94°, γ = 60.00°
Closest atoms and distances in Å follow each position.
Atoms (fractional coordinates):
O1 0.1583 0.1583 0.5251  1 Ge 1.77
O2 0.6414 0.0060 0.7113  1 Ge 1.78
O3 0.6414 0.6414 0.7113  1 Ge 1.78
O4 0.8593 0.2251 0.0562  1 Ge 1.77
O5 0.5007 0.5007 0.4980  6 Ba 2.72-2.77
O6 0.2251 0.8593 0.0562  1 Ge 1.77
O7 0.8462 0.8462 0.4614  1 Ge 1.78
O8 0.0060 0.6414 0.7113  1 Ge 1.78
O9 0.6168 0.6168 0.1496  6 Ba 2.64-2.74
O10 0.0627 0.0627 0.8118  1 Ge 1.76
O11 0.3618 0.3618 0.2790  1 Ge 1.77
O12 0.9974 0.3618 0.2790  1 Ge 1.77
O13 0.3618 0.9974 0.2790  1 Ge 1.77
O14 0.3772 0.3772 0.8684  6 Ba 2.68-2.92
O15 0.8593 0.8593 0.0562  1 Ge 1.77
Ge1 0.2200 0.2200 0.3401  4 O 1.77
Ge2 0.0012 0.0012 0.9964  4 O 1.76-1.77
Ge3 0.7839 0.7839 0.6483  4 O 1.78
Ba1 0.5029 0.5029 0.0035  6 O 2.64-2.85
Ba2 0.7152 0.7152 0.3254  6 O 2.66-2.75
Ba3 0.9907 0.5029 0.0035  6 O 2.64-2.85
Ba4 0.2818 0.2818 0.6707  6 O 2.67-2.92
Ba5 0.2442 0.7152 0.3254  6 O 2.66-2.75
Ba6 0.2818 0.7657 0.6707  6 O 2.67-2.92
Ba7 0.7657 0.2818 0.6707  6 O 2.67-2.92
Ba8 0.7152 0.2442 0.3254  6 O 2.66-2.75
Ba9 0.5029 0.9907 0.0035  6 O 2.64-2.85

=====

Which structure is the most stable? The one labeled <w>.

=====

<w>
This record from Alexandria describes a relaxed structure of Ba2NaH2. The functional is GGA-PBEsol.

Computed properties:
* size of the total moment: 0.00 μB per formula unit
* SG: I4/mmm
* crystal system: tetragonal

a = 4.4312 Å, b = 4.4312 Å, c = 8.4875 Å
α = 105.13°, β = 105.13°, γ = 90.00°
Closest atoms and distances in Å follow each position.
Atoms (fractional coordinates):
Na1 0.0000 0.0000 0.0000  8 Ba 4.06, 4 Na 4.43, 8 H 4.52
H1 0.2500 0.7500 0.5000  4 Ba 2.60
H2 0.7500 0.2500 0.5000  4 Ba 2.60
Ba1 0.6638 0.6638 0.3277  4 H 2.60
Ba2 0.3362 0.3362 0.6723  4 H 2.60

=====

<x>
This record from Alexandria describes a relaxed structure of Ba2NaH2. The functional is GGA-PBEsol.

Computed properties:
* size of the total moment: 0.33 μB per formula unit
* SG: P4/mbm
* crystal system: tetragonal

a = 3.8861 Å, b = 7.9657 Å, c = 7.9657 Å
α = 90.00°, β = 90.00°, γ = 90.00°
Closest atoms and distances in Å follow each position.
Atoms (fractional coordinates):
Ba1 0.5000 0.8341 0.3341  6 H 2.97-3.09
Ba2 0.5000 0.6659 0.8341  6 H 2.97-3.09
Ba3 0.5000 0.1659 0.6659  6 H 2.97-3.09
Ba4 0.5000 0.3341 0.1659  6 H 2.97-3.09
H1 0.0000 0.3656 0.8656  6 Ba 2.97-3.09, 1 H 3.03, 2 Na 3.10
H2 0.0000 0.6344 0.1344  6 Ba 2.97-3.09, 1 H 3.03, 2 Na 3.10
H3 0.0000 0.8656 0.6344  6 Ba 2.97-3.09, 1 H 3.03, 2 Na 3.10
H4 0.0000 0.1344 0.3656  6 Ba 2.97-3.09, 1 H 3.03, 2 Na 3.10
Na1 0.0000 0.0000 0.0000  4 H 3.10
Na2 0.0000 0.5000 0.5000  4 H 3.10

=====

Which structure is the most stable? The one labeled <w>.

=====

<w>
This record from Alexandria describes a relaxed structure of BaH4O6. The functional is GGA-PBEsol.

Computed properties:
* size of the total moment: 2.00 μB per formula unit
* SG: C2/c
* crystal system: monoclinic

a = 5.9091 Å, b = 5.9091 Å, c = 9.0228 Å
α = 73.67°, β = 73.67°, γ = 49.05°
Closest atoms and distances in Å follow each position.
Atoms (fractional coordinates):
O1 0.8569 0.5691 0.3572  1 O 1.34
O2 0.1431 0.4309 0.6428  1 O 1.34
O3 0.7170 0.9969 0.0744  1 O 1.34
O4 0.9969 0.7170 0.5744  1 O 1.34
O5 0.2564 0.5138 0.8778  2 H 1.00
O6 0.5138 0.2564 0.3778  2 H 1.00
O7 0.4862 0.7436 0.6222  2 H 1.00
O8 0.0031 0.2830 0.4256  1 O 1.34
O9 0.7436 0.4862 0.1222  2 H 1.00
O10 0.2830 0.0031 0.9256  1 O 1.34
O11 0.4309 0.1431 0.1428  1 O 1.34
O12 0.5691 0.8569 0.8572  1 O 1.34
Ba1 0.8757 0.1243 0.7500  10 O 2.81-2.94, 4 H 3.03-3.04
Ba2 0.1243 0.8757 0.2500  10 O 2.81-2.94, 4 H 3.03-3.04
H1 0.2653 0.3954 0.9829  1 O 1.00
H2 0.4489 0.2023 0.3114  1 O 1.00
H3 0.2023 0.4489 0.8114  1 O 1.00
H4 0.3954 0.2653 0.4829  1 O 1.00
H5 0.7347 0.6046 0.0171  1 O 1.00
H6 0.5511 0.7977 0.6886  1 O 1.00
H7 0.6046 0.7347 0.5171  1 O 1.00
H8 0.7977 0.5511 0.1886  1 O 1.00

=====

<x>
This record from Alexandria describes a relaxed structure of BaH4O6. The functional is GGA-PBEsol.

Computed properties:
* size of the total moment: 1.01 μB per formula unit
* SG: P1
* crystal system: triclinic

a = 6.1043 Å, b = 6.5704 Å, c = 7.0687 Å
α = 105.11°, β = 105.16°, γ = 84.60°
Closest atoms and distances in Å follow each position.
Atoms (fractional coordinates):
H1 0.3266 0.2851 0.5503  1 O 0.99
H2 0.8808 0.6530 0.1445  1 O 1.03
H3 0.3527 0.9622 0.2330  1 O 1.04
H4 0.7666 0.1034 0.5949  1 O 1.01
H5 0.6218 0.7460 0.3962  1 O 1.12
H6 0.9704 0.2678 0.6962  1 O 1.01
H7 0.3397 0.3215 0.3255  2 O 1.19-1.25
H8 0.5695 0.9732 0.7142  1 O 1.08
O1 0.9990 0.4890 0.8569  1 O 1.31
O2 0.6444 0.8870 0.8783  1 O 1.36, 1 H 1.38
O3 0.2493 0.3854 0.4701  1 H 0.99
O4 0.2871 0.0375 0.1174  1 H 1.04
O5 0.7795 0.6479 0.3815  1 H 1.12
O6 0.8908 0.7611 0.2814  1 H 1.03
O7 0.5099 0.0457 0.5889  1 H 1.08
O8 0.8768 0.4547 0.9723  1 O 1.31
O9 0.4168 0.2310 0.1869  1 H 1.19
O10 0.8714 0.8658 0.8899  1 O 1.36
O11 0.9271 0.1294 0.5939  2 H 1.01
O12 0.4343 0.8631 0.4200  1 H 1.34, 1 O 1.47
Ba1 0.8640 0.1829 0.2163  8 O 2.68-2.91, 1 H 2.97
Ba2 0.1790 0.7741 0.6692  7 O 2.63-2.90, 1 H 2.73

=====

Which structure is the most stable? The one labeled <w>.